LiFe2Br | PBE-GGA | relaxed

```
data_LiFe2Br
_chemical_formula_sum 'Li4 Fe8 Br4'
_symmetry_space_group_name_H-M 'F -4 3 m'
_symmetry_Int_Tables_number 216
_symmetry_space_group_name_Hall 'F -4 2 3'
_cell_length_a 6.1241
_cell_length_b 6.1241
_cell_length_c 6.1241
_cell_angle_alpha 90.00
_cell_angle_beta 90.00
_cell_angle_gamma 90.00
loop_
_atom_site_label
_atom_site_type_symbol
_atom_site_fract_x
_atom_site_fract_y
_atom_site_fract_z
Li1 Li 0.0000 0.0000 0.0000
Fe1 Fe 0.0000 0.0000 0.5000
Fe2 Fe 0.2500 0.2500 0.2500
Br1 Br 0.2500 0.2500 0.7500
```

Values from the calculation:
**Energy above the most stable polymorph in this dataset**: 507 meV/atom
**N(E_F)**: 11.04 states/eV/cell
**ΔE_f (raw)**: 0.524 eV per atom
**M_tot**: 1.253 μB/atom

---

HoTmZnGe | PBE-GGA | relaxed

```
data_HoTmZnGe
_chemical_formula_sum 'Ho4 Tm4 Zn4 Ge4'
_symmetry_space_group_name_H-M 'F -4 3 m'
_symmetry_Int_Tables_number 216
_symmetry_space_group_name_Hall 'F -4 2 3'
_cell_length_a 7.0321
_cell_length_b 7.0321
_cell_length_c 7.0321
_cell_angle_alpha 90.00
_cell_angle_beta 90.00
_cell_angle_gamma 90.00
loop_
_atom_site_label
_atom_site_type_symbol
_atom_site_fract_x
_atom_site_fract_y
_atom_site_fract_z
Ho1 Ho 0.0000 0.0000 0.0000
Tm1 Tm 0.0000 0.0000 0.5000
Zn1 Zn 0.2500 0.2500 0.2500
Ge1 Ge 0.2500 0.2500 0.7500
```

Values from the calculation:
**Energy above the most stable polymorph in this dataset**: 106 meV/atom
**N(E_F)**: 9.84 states/eV/cell
**M_tot**: 0.000 μB/atom
**ΔE_f**: -0.513 eV/atom

---

ReSi2S6 | PBE-GGA | relaxed

```
data_ReSi2S6
_chemical_formula_sum 'Re4 Si8 S24'
_symmetry_space_group_name_H-M 'C 1 2/c 1'
_symmetry_Int_Tables_number 15
_symmetry_space_group_name_Hall '-C 2yc'
_cell_length_a 11.6041
_cell_length_b 10.4174
_cell_length_c 6.1555
_cell_angle_alpha 90.00
_cell_angle_beta 101.54
_cell_angle_gamma 90.00
loop_
_atom_site_label
_atom_site_type_symbol
_atom_site_fract_x
_atom_site_fract_y
_atom_site_fract_z
Re1 Re 0.0000 0.1186 0.2500
Si1 Si 0.2013 0.4207 0.3331
S1 S 0.1063 0.0787 0.6173
S2 S 0.1287 0.2537 0.1353
S3 S 0.1315 0.4177 0.6302
```

Values from the calculation:
**N(E_F)**: 16.48 states/eV/cell
**ΔE_f (raw)**: -0.322 eV per atom
**M_tot**: 0.100 μB/atom

---

CaErSc | PBE-GGA | relaxed

```
data_CaErSc
_chemical_formula_sum 'Ca2 Er2 Sc2'
_symmetry_space_group_name_H-M 'I 4 m m'
_symmetry_Int_Tables_number 107
_symmetry_space_group_name_Hall 'I 4 -2'
_cell_length_a 3.5557
_cell_length_b 3.5557
_cell_length_c 14.8733
_cell_angle_alpha 90.00
_cell_angle_beta 90.00
_cell_angle_gamma 90.00
loop_
_atom_site_label
_atom_site_type_symbol
_atom_site_fract_x
_atom_site_fract_y
_atom_site_fract_z
Ca1 Ca 0.0000 0.0000 0.0000
Er1 Er 0.0000 0.0000 0.3136
Sc1 Sc 0.0000 0.0000 0.6728
```

Values from the calculation:
**Energy above the most stable polymorph in this dataset**: 0 meV/atom
**N(E_F)**: 12.13 states/eV/cell
**M_tot**: 0.079 μB/atom
**ΔE_f**: 0.124 eV/atom

---

KReAu | PBE-GGA | relaxed

```
data_KReAu
_chemical_formula_sum 'K1 Re1 Au1'
_symmetry_space_group_name_H-M 'P -6 m 2'
_symmetry_Int_Tables_number 187
_symmetry_space_group_name_Hall 'P -6 2'
_cell_length_a 5.2229
_cell_length_b 5.2229
_cell_length_c 2.6782
_cell_angle_alpha 90.00
_cell_angle_beta 90.00
_cell_angle_gamma 120.00
loop_
_atom_site_label
_atom_site_type_symbol
_atom_site_fract_x
_atom_site_fract_y
_atom_site_fract_z
K1 K 0.0000 0.0000 0.0000
Re1 Re 0.6667 0.3333 0.5000
Au1 Au 0.3333 0.6667 0.5000
```

Values from the calculation:
**Energy above the most stable polymorph in this dataset**: 456 meV/atom
**N(E_F)**: 1.98 states/eV/cell
**M_tot**: 0.485 μB/atom
**ΔE_f**: 1.269 eV/atom

---

ScCdCo3 | PBE-GGA | relaxed

```
data_ScCdCo3
_chemical_formula_sum 'Sc1 Cd1 Co3'
_symmetry_space_group_name_H-M 'P m -3 m'
_symmetry_Int_Tables_number 221
_symmetry_space_group_name_Hall '-P 4 2 3'
_cell_length_a 4.4288
_cell_length_b 4.4288
_cell_length_c 4.4288
_cell_angle_alpha 90.00
_cell_angle_beta 90.00
_cell_angle_gamma 90.00
loop_
_atom_site_label
_atom_site_type_symbol
_atom_site_fract_x
_atom_site_fract_y
_atom_site_fract_z
Sc1 Sc 0.0000 0.0000 0.0000
Cd1 Cd 0.5000 0.5000 0.5000
Co1 Co 0.0000 0.0000 0.5000
```

Values from the calculation:
**Energy above the most stable polymorph in this dataset**: 0 meV/atom
**N(E_F)**: 7.51 states/eV/cell
**M_tot**: 0.426 μB/atom
**ΔE_f**: 1.139 eV/atom

---

PmEu2Er | PBE-GGA | relaxed

```
data_PmEu2Er
_chemical_formula_sum 'Pm4 Eu8 Er4'
_symmetry_space_group_name_H-M 'F m -3 m'
_symmetry_Int_Tables_number 225
_symmetry_space_group_name_Hall '-F 4 2 3'
_cell_length_a 8.3106
_cell_length_b 8.3106
_cell_length_c 8.3106
_cell_angle_alpha 90.00
_cell_angle_beta 90.00
_cell_angle_gamma 90.00
loop_
_atom_site_label
_atom_site_type_symbol
_atom_site_fract_x
_atom_site_fract_y
_atom_site_fract_z
Pm1 Pm 0.0000 0.0000 0.0000
Eu1 Eu 0.2500 0.2500 0.2500
Er1 Er 0.0000 0.0000 0.5000
```

Values from the calculation:
**Energy above the most stable polymorph in this dataset**: 47 meV/atom
**N(E_F)**: 20.00 states/eV/cell
**M_tot**: 3.615 μB/atom
**ΔE_f**: 0.158 eV/atom